1.
# Ac6SiOs2I3 | the Alexandria database | GGA-PBE | relaxed
# **Calculated density**: 8.1 g cm⁻³
data_Ac6SiOs2I3
_symmetry_space_group_name_H-M 'C 1 2/m 1'
_symmetry_Int_Tables_number 12
_cell_length_a 7.754
_cell_length_b 13.420
_cell_length_c 8.890
_cell_angle_alpha 90.00
_cell_angle_beta 106.97
_cell_angle_gamma 90.00
loop_
_symmetry_equiv_pos_as_xyz
'x,y,z'
'-x,-y,-z'
'-x,y,-z'
'x,-y,z'
'x+1/2,y+1/2,z'
'-x+1/2,-y+1/2,-z'
'-x+1/2,y+1/2,-z'
'x+1/2,-y+1/2,z'
loop_
_atom_site_label
_atom_site_fract_x
_atom_site_fract_y
_atom_site_fract_z
Ac1 0.210 0.000 0.186
Ac2 0.238 0.324 0.187
Si1 0.000 0.500 0.000
Os1 0.000 0.167 0.000
I1 0.000 0.000 0.500
I2 0.000 0.337 0.500

2.
# Ac6SnOs2I3 | the Alexandria database | GGA-PBE | relaxed
# **Calculated density**: 8.1 g cm⁻³
data_Ac6SnOs2I3
_symmetry_space_group_name_H-M 'C 1 2/m 1'
_symmetry_Int_Tables_number 12
_cell_length_a 7.866
_cell_length_b 13.612
_cell_length_c 8.949
_cell_angle_alpha 90.00
_cell_angle_beta 107.19
_cell_angle_gamma 90.00
loop_
_symmetry_equiv_pos_as_xyz
'x,y,z'
'-x,-y,-z'
'-x,y,-z'
'x,-y,z'
'x+1/2,y+1/2,z'
'-x+1/2,-y+1/2,-z'
'-x+1/2,y+1/2,-z'
'x+1/2,-y+1/2,z'
loop_
_atom_site_label
_atom_site_fract_x
_atom_site_fract_y
_atom_site_fract_z
Ac1 0.196 0.000 0.190
Ac2 0.248 0.316 0.191
Sn1 0.000 0.500 0.000
Os1 0.000 0.167 0.000
I1 0.000 0.000 0.500
I2 0.000 0.340 0.500

3.
# Ac8SnOs3I4 | the Alexandria database | GGA-PBE | relaxed
# **Calculated density**: 8.3 g cm⁻³
data_Ac8SnOs3I4
_symmetry_space_group_name_H-M 'R -3 m'
_symmetry_Int_Tables_number 166
_symmetry_space_group_name_Hall '-R 3 2"'
_cell_length_a 9.0512
_cell_length_b 9.0512
_cell_length_c 25.4778
_cell_angle_alpha 90.00
_cell_angle_beta 90.00
_cell_angle_gamma 120.00
loop_
_atom_site_label
_atom_site_fract_x
_atom_site_fract_y
_atom_site_fract_z
Ac1 0.0000 0.0000 0.2302
Ac2 0.0279 0.5139 0.7717
Sn1 0.0000 0.0000 0.5000
Os1 0.0000 0.5000 0.5000
I1 0.0000 0.0000 0.0000
I2 0.0000 0.5000 0.0000

4.
# Ac6TlOs2I3 | the Alexandria database | GGA-PBE | relaxed
# **Calculated density**: 8.4 g cm⁻³
data_Ac6TlOs2I3
_symmetry_space_group_name_H-M 'C 1 2/m 1'
_symmetry_Int_Tables_number 12
_cell_length_a 7.844
_cell_length_b 13.575
_cell_length_c 9.003
_cell_angle_alpha 90.00
_cell_angle_beta 106.99
_cell_angle_gamma 90.00
loop_
_symmetry_equiv_pos_as_xyz
'x,y,z'
'-x,-y,-z'
'-x,y,-z'
'x,-y,z'
'x+1/2,y+1/2,z'
'-x+1/2,-y+1/2,-z'
'-x+1/2,y+1/2,-z'
'x+1/2,-y+1/2,z'
loop_
_atom_site_label
_atom_site_fract_x
_atom_site_fract_y
_atom_site_fract_z
Ac1 0.194 0.000 0.190
Ac2 0.249 0.315 0.191
Tl1 0.000 0.500 0.000
Os1 0.000 0.167 0.000
I1 0.000 0.000 0.500
I2 0.000 0.338 0.500

5.
# Ac8TlOs3I4 | the Alexandria database | GGA-PBE | relaxed
# **Calculated density**: 8.6 g cm⁻³
data_Ac8TlOs3I4
_symmetry_space_group_name_H-M 'R -3 m'
_symmetry_Int_Tables_number 166
_symmetry_space_group_name_Hall '-R 3 2"'
_cell_length_a 9.0160
_cell_length_b 9.0160
_cell_length_c 25.6352
_cell_angle_alpha 90.00
_cell_angle_beta 90.00
_cell_angle_gamma 120.00
loop_
_atom_site_label
_atom_site_fract_x
_atom_site_fract_y
_atom_site_fract_z
Ac1 0.0000 0.0000 0.2297
Ac2 0.0281 0.5140 0.7716
Tl1 0.0000 0.0000 0.5000
Os1 0.0000 0.5000 0.5000
I1 0.0000 0.0000 0.0000
I2 0.0000 0.5000 0.0000

6.
# Ac4TlOsI2 | the Alexandria database | GGA-PBE | relaxed
# **Calculated density**: 8.2 g cm⁻³
data_Ac4TlOsI2
_symmetry_space_group_name_H-M 'P 1 2/m 1'
_symmetry_Int_Tables_number 10
_cell_length_a 8.226
_cell_length_b 4.497
_cell_length_c 8.981
_cell_angle_alpha 90.00
_cell_angle_beta 107.40
_cell_angle_gamma 90.00
loop_
_symmetry_equiv_pos_as_xyz
'x,y,z'
'-x,-y,-z'
'-x,y,-z'
'x,-y,z'
loop_
_atom_site_label
_atom_site_fract_x
_atom_site_fract_y
_atom_site_fract_z
Ac1 0.211 0.000 0.188
Ac2 0.221 0.500 0.804
Tl1 0.500 0.000 0.000
Os1 0.000 0.500 0.000
I1 0.000 0.000 0.500
I2 0.500 0.500 0.500

7.
# AcPI | the Alexandria database | GGA-PBE | relaxed
# **E above lowest polymorph**: 552 meV/atom
# **Calculated density**: 4.8 g cm⁻³
data_AcPI
_symmetry_space_group_name_H-M 'P 3 m 1'
_symmetry_Int_Tables_number 156
_cell_length_a 4.8192
_cell_length_b 4.8192
_cell_length_c 6.5572
_cell_angle_alpha 90.00
_cell_angle_beta 90.00
_cell_angle_gamma 120.00
loop_
_symmetry_equiv_pos_as_xyz
'x,y,z'
'-y,x-y,z'
'-x+y,-x,z'
'-y,-x,z'
'-x+y,y,z'
'x,x-y,z'
loop_
_atom_site_label
_atom_site_fract_x
_atom_site_fract_y
_atom_site_fract_z
Ac1 0.0000 0.0000 0.0000
P1 0.3333 0.6667 0.8403
I1 0.6667 0.3333 0.3243

8.
# Ac4P2I | the Alexandria database | GGA-PBE | relaxed
# **Calculated density**: 7.1 g cm⁻³
data_Ac4P2I
_symmetry_space_group_name_H-M 'R -3 m'
_symmetry_Int_Tables_number 166
_symmetry_space_group_name_Hall '-R 3 2"'
_cell_length_a 4.3475
_cell_length_b 4.3475
_cell_length_c 46.9345
_cell_angle_alpha 90.00
_cell_angle_beta 90.00
_cell_angle_gamma 120.00
loop_
_atom_site_label
_atom_site_fract_x
_atom_site_fract_y
_atom_site_fract_z
Ac1 0.0000 0.0000 0.1264
Ac2 0.0000 0.0000 0.2789
P1 0.0000 0.0000 0.4224
I1 0.0000 0.0000 0.0000

9.
# Ac4P12I | the Alexandria database | GGA-PBE | relaxed
# **Calculated density**: 4.8 g cm⁻³
data_Ac4P12I
_symmetry_space_group_name_H-M 'I m -3'
_symmetry_Int_Tables_number 204
_symmetry_space_group_name_Hall '-I 2 2 3'
_cell_length_a 9.881
_cell_length_b 9.881
_cell_length_c 9.881
_cell_angle_alpha 90.00
_cell_angle_beta 90.00
_cell_angle_gamma 90.00
loop_
_atom_site_label
_atom_site_fract_x
_atom_site_fract_y
_atom_site_fract_z
Ac1 0.250 0.250 0.250
P1 0.000 0.387 0.112
I1 0.000 0.000 0.000

10.
# Ac4P2I5 | the Alexandria database | GGA-PBE | relaxed
# **Calculated density**: 5.8 g cm⁻³
data_Ac4P2I5
_symmetry_space_group_name_H-M 'C 1 2/m 1'
_symmetry_Int_Tables_number 12
_cell_length_a 22.915
_cell_length_b 4.288
_cell_length_c 9.346
_cell_angle_alpha 90.00
_cell_angle_beta 96.98
_cell_angle_gamma 90.00
loop_
_symmetry_equiv_pos_as_xyz
'x,y,z'
'-x,-y,-z'
'-x,y,-z'
'x,-y,z'
'x+1/2,y+1/2,z'
'-x+1/2,-y+1/2,-z'
'-x+1/2,y+1/2,-z'
'x+1/2,-y+1/2,z'
loop_
_atom_site_label
_atom_site_fract_x
_atom_site_fract_y
_atom_site_fract_z
Ac1 0.017 0.000 0.209
Ac2 0.172 0.500 0.081
P1 0.046 0.500 0.981
I1 0.000 0.500 0.500
I2 0.159 0.000 0.352
I3 0.183 0.000 0.804

11.
# AcPI | the Alexandria database | GGA-PBE | relaxed
# **E above lowest polymorph**: 0 meV/atom
# **Calculated density**: 5.1 g cm⁻³
data_AcPI
_symmetry_space_group_name_H-M 'C 1 2/m 1'
_symmetry_Int_Tables_number 12
_cell_length_a 8.161
_cell_length_b 5.139
_cell_length_c 12.711
_cell_angle_alpha 90.00
_cell_angle_beta 108.29
_cell_angle_gamma 90.00
loop_
_symmetry_equiv_pos_as_xyz
'x,y,z'
'-x,-y,-z'
'-x,y,-z'
'x,-y,z'
'x+1/2,y+1/2,z'
'-x+1/2,-y+1/2,-z'
'-x+1/2,y+1/2,-z'
'x+1/2,-y+1/2,z'
loop_
_atom_site_label
_atom_site_fract_x
_atom_site_fract_y
_atom_site_fract_z
Ac1 0.183 0.000 0.343
P1 0.123 0.000 0.570
I1 0.052 0.500 0.824

12.
# Ac3P2I | the Alexandria database | GGA-PBE | relaxed
# **Calculated density**: 6.9 g cm⁻³
data_Ac3P2I
_symmetry_space_group_name_H-M 'P 1 21/m 1'
_symmetry_Int_Tables_number 11
_cell_length_a 5.104
_cell_length_b 11.396
_cell_length_c 7.592
_cell_angle_alpha 90.00
_cell_angle_beta 109.54
_cell_angle_gamma 90.00
loop_
_symmetry_equiv_pos_as_xyz
'x,y,z'
'-x,-y,-z'
'-x,y+1/2,-z'
'x,-y+1/2,z'
loop_
_atom_site_label
_atom_site_fract_x
_atom_site_fract_y
_atom_site_fract_z
Ac1 0.084 0.250 0.167
Ac2 0.378 0.044 0.756
P1 0.000 0.000 0.000
P2 0.494 0.250 0.987
I1 0.236 0.750 0.474

13.
# Ac4PI5 | the Alexandria database | GGA-PBE | relaxed
# **Calculated density**: 6.2 g cm⁻³
data_Ac4PI5
_symmetry_space_group_name_H-M 'C 1 2/m 1'
_symmetry_Int_Tables_number 12
_cell_length_a 20.424
_cell_length_b 4.452
_cell_length_c 9.490
_cell_angle_alpha 90.00
_cell_angle_beta 103.18
_cell_angle_gamma 90.00
loop_
_symmetry_equiv_pos_as_xyz
'x,y,z'
'-x,-y,-z'
'-x,y,-z'
'x,-y,z'
'x+1/2,y+1/2,z'
'-x+1/2,-y+1/2,-z'
'-x+1/2,y+1/2,-z'
'x+1/2,-y+1/2,z'
loop_
_atom_site_label
_atom_site_fract_x
_atom_site_fract_y
_atom_site_fract_z
Ac1 0.001 0.000 0.288
Ac2 0.148 0.500 0.576
P1 0.000 0.500 0.500
I1 0.000 0.500 0.000
I2 0.166 0.000 0.846
I3 0.172 0.000 0.322

14.
# AcPI | the Alexandria database | GGA-PBE | relaxed
# **E above lowest polymorph**: 217 meV/atom
# **Calculated density**: 4.9 g cm⁻³
data_AcPI
_symmetry_space_group_name_H-M 'P -1'
_symmetry_Int_Tables_number 2
_cell_length_a 5.138
_cell_length_b 6.496
_cell_length_c 8.530
_cell_angle_alpha 111.51
_cell_angle_beta 98.12
_cell_angle_gamma 90.01
loop_
_symmetry_equiv_pos_as_xyz
'x,y,z'
'-x,-y,-z'
loop_
_atom_site_label
_atom_site_fract_x
_atom_site_fract_y
_atom_site_fract_z
Ac1 0.202 0.133 0.258
P1 0.326 0.942 0.905
I1 0.232 0.701 0.399

15.
# AcP4I | the Alexandria database | GGA-PBE | relaxed
# **Calculated density**: 5.8 g cm⁻³
data_AcP4I
_symmetry_space_group_name_H-M 'F -4 3 m'
_symmetry_Int_Tables_number 216
_symmetry_space_group_name_Hall 'F -4 2 3'
_cell_length_a 8.196
_cell_length_b 8.196
_cell_length_c 8.196
_cell_angle_alpha 90.00
_cell_angle_beta 90.00
_cell_angle_gamma 90.00
loop_
_atom_site_label
_atom_site_fract_x
_atom_site_fract_y
_atom_site_fract_z
Ac1 0.000 0.000 0.000
P1 0.101 0.101 0.601
I1 0.250 0.250 0.250

16.
# AcPI | the Alexandria database | GGA-PBE | relaxed
# **E above lowest polymorph**: 455 meV/atom
# **Calculated density**: 6.2 g cm⁻³
data_AcPI
_symmetry_space_group_name_H-M 'I 4 m m'
_symmetry_Int_Tables_number 107
_symmetry_space_group_name_Hall 'I 4 -2'
_cell_length_a 4.181
_cell_length_b 4.181
_cell_length_c 11.708
_cell_angle_alpha 90.00
_cell_angle_beta 90.00
_cell_angle_gamma 90.00
loop_
_atom_site_label
_atom_site_fract_x
_atom_site_fract_y
_atom_site_fract_z
Ac1 0.000 0.000 0.000
P1 0.000 0.000 0.575
I1 0.000 0.000 0.306

17.
# Ac4PPdI2 | the Alexandria database | GGA-PBE | relaxed
# **Calculated density**: 7.5 g cm⁻³
data_Ac4PPdI2
_symmetry_space_group_name_H-M 'P 1 2/m 1'
_symmetry_Int_Tables_number 10
_cell_length_a 8.042
_cell_length_b 4.354
_cell_length_c 8.569
_cell_angle_alpha 90.00
_cell_angle_beta 106.54
_cell_angle_gamma 90.00
loop_
_symmetry_equiv_pos_as_xyz
'x,y,z'
'-x,-y,-z'
'-x,y,-z'
'x,-y,z'
loop_
_atom_site_label
_atom_site_fract_x
_atom_site_fract_y
_atom_site_fract_z
Ac1 0.224 0.000 0.193
Ac2 0.276 0.500 0.799
P1 0.500 0.000 0.000
Pd1 0.000 0.500 0.000
I1 0.000 0.000 0.500
I2 0.500 0.500 0.500

18.
# Ac8PPd3I3 | the Alexandria database | GGA-PBE | relaxed
# **Calculated density**: 7.3 g cm⁻³
data_Ac8PPd3I3
_symmetry_space_group_name_H-M 'C 1 2/m 1'
_symmetry_Int_Tables_number 12
_cell_length_a 15.626
_cell_length_b 9.036
_cell_length_c 9.730
_cell_angle_alpha 90.00
_cell_angle_beta 122.38
_cell_angle_gamma 90.00
loop_
_symmetry_equiv_pos_as_xyz
'x,y,z'
'-x,-y,-z'
'-x,y,-z'
'x,-y,z'
'x+1/2,y+1/2,z'
'-x+1/2,-y+1/2,-z'
'-x+1/2,y+1/2,-z'
'x+1/2,-y+1/2,z'
loop_
_atom_site_label
_atom_site_fract_x
_atom_site_fract_y
_atom_site_fract_z
Ac1 0.018 0.246 0.301
Ac2 0.230 0.000 0.691
Ac3 0.236 0.500 0.699
P1 0.000 0.500 0.500
Pd1 0.000 0.000 0.500
Pd2 0.250 0.250 0.500
I1 0.000 0.500 0.000
I2 0.250 0.250 0.000

19.
# Ac8PPd3I4 | the Alexandria database | GGA-PBE | relaxed
# **Calculated density**: 7.5 g cm⁻³
data_Ac8PPd3I4
_symmetry_space_group_name_H-M 'R -3 m'
_symmetry_Int_Tables_number 166
_symmetry_space_group_name_Hall '-R 3 2"'
_cell_length_a 8.9771
_cell_length_b 8.9771
_cell_length_c 25.4122
_cell_angle_alpha 90.00
_cell_angle_beta 90.00
_cell_angle_gamma 120.00
loop_
_atom_site_label
_atom_site_fract_x
_atom_site_fract_y
_atom_site_fract_z
Ac1 0.0000 0.0000 0.2293
Ac2 0.0011 0.5006 0.7687
P1 0.0000 0.0000 0.5000
Pd1 0.0000 0.5000 0.5000
I1 0.0000 0.0000 0.0000
I2 0.0000 0.5000 0.0000

20.
# AcPrPI | the Alexandria database | GGA-PBE | relaxed
# **Calculated density**: 6.7 g cm⁻³
data_AcPrPI
_symmetry_space_group_name_H-M 'R 3 m'
_symmetry_Int_Tables_number 160
_symmetry_space_group_name_Hall 'R 3 -2"'
_cell_length_a 4.2852
_cell_length_b 4.2852
_cell_length_c 24.4450
_cell_angle_alpha 90.00
_cell_angle_beta 90.00
_cell_angle_gamma 120.00
loop_
_atom_site_label
_atom_site_fract_x
_atom_site_fract_y
_atom_site_fract_z
Ac1 0.0000 0.0000 0.0000
Pr1 0.0000 0.0000 0.7971
P1 0.0000 0.0000 0.4040
I1 0.0000 0.0000 0.2270

| no. | total DFT energy (no corrections) (eV/f.u.) |
| --- | --- |
| 1 | -65.66 |
| 2 | -64.39 |
| 3 | -87.37 |
| 4 | -62.09 |
| 5 | -85.15 |
| 6 | -38.36 |
| 7 | -13.41 |
| 8 | -36.71 |
| 9 | -91.81 |
| 10 | -48.98 |
| 11 | -15.06 |
| 12 | -31.05 |
| 13 | -43.49 |
| 14 | -14.41 |
| 15 | -28.55 |
| 16 | -13.69 |
| 17 | -38.88 |
| 18 | -71.66 |
| 19 | -76.22 |
| 20 | -21.21 |